Model A:
The following is a PBE-GGA calculation of YP3Br after structural relaxation, from Alexandria. Values from VASP.

The structure in Quantum ESPRESSO input format:
```
&SYSTEM
  ibrav = 0, nat = 5, ntyp = 3
/
ATOMIC_SPECIES
P 30.97 P.upf
Y 88.91 Y.upf
Br 79.90 Br.upf
CELL_PARAMETERS angstrom
5.324 0.000 0.000
0.000 5.324 0.000
0.000 0.000 5.324
ATOMIC_POSITIONS crystal
P 0.000 0.500 0.000
P 0.500 0.000 0.000
P 0.000 0.000 0.500
Y 0.000 0.000 0.000
Br 0.500 0.500 0.500
```

magnetic moment	0.00	μB/f.u.

---

Model B:
The following is a PBE-GGA calculation of YP3Br after structural relaxation, from Alexandria. Values from VASP.

The structure in Quantum ESPRESSO input format:
```
&SYSTEM
  ibrav = 0, nat = 5, ntyp = 3
/
ATOMIC_SPECIES
P 30.97 P.upf
Br 79.90 Br.upf
Y 88.91 Y.upf
CELL_PARAMETERS angstrom
-3.896 0.058 2.809
2.522 -2.046 3.540
1.239 4.346 1.629
ATOMIC_POSITIONS crystal
P 0.500 0.000 0.000
P 0.000 0.500 0.000
P 0.000 0.000 0.500
Br 0.000 0.000 0.000
Y 0.500 0.500 0.500
```

magnetic moment	0.00	μB/f.u.

---

Most stable: model B (next structure +178 meV/atom)

---

Model A:
The following is a PBE-GGA calculation of ZnP2Br after structural relaxation, from Alexandria. Values from VASP.

The structure in Quantum ESPRESSO input format:
```
&SYSTEM
  ibrav = 0, nat = 4, ntyp = 3
/
ATOMIC_SPECIES
Br 79.90 Br.upf
P 30.97 P.upf
Zn 65.41 Zn.upf
CELL_PARAMETERS angstrom
0.000 3.311 3.311
3.311 0.000 3.311
3.311 3.311 0.000
ATOMIC_POSITIONS crystal
Br 0.500 0.500 0.500
P 0.750 0.750 0.750
P 0.250 0.250 0.250
Zn 0.000 0.000 0.000
```

magnetic moment	0.00	μB/f.u.

---

Model B:
The following is a PBE-GGA calculation of ZnP2Br after structural relaxation, from Alexandria. Values from VASP.

The structure in Quantum ESPRESSO input format:
```
&SYSTEM
  ibrav = 0, nat = 4, ntyp = 3
/
ATOMIC_SPECIES
P 30.97 P.upf
Zn 65.41 Zn.upf
Br 79.90 Br.upf
CELL_PARAMETERS angstrom
5.986 0.001 -0.003
4.988 3.310 -0.003
-0.271 -0.082 4.414
ATOMIC_POSITIONS crystal
P 0.960 0.960 0.856
P 0.540 0.540 0.644
Zn 0.750 0.750 0.750
Br 0.250 0.250 0.250
```

magnetic moment	0.00	μB/f.u.

---

Model C:
The following is a PBE-GGA calculation of ZnP2Br after structural relaxation, from Alexandria. Values from VASP.

The structure in Quantum ESPRESSO input format:
```
&SYSTEM
  ibrav = 0, nat = 4, ntyp = 3
/
ATOMIC_SPECIES
P 30.97 P.upf
Zn 65.41 Zn.upf
Br 79.90 Br.upf
CELL_PARAMETERS angstrom
12.164 0.011 0.006
11.806 2.926 0.006
11.806 1.447 2.544
ATOMIC_POSITIONS crystal
P 0.530 0.530 0.530
P 0.970 0.970 0.970
Zn 0.250 0.250 0.250
Br 0.750 0.750 0.750
```

magnetic moment	0.00	μB/f.u.

---

Model D:
The following is a PBE-GGA calculation of ZnP2Br after structural relaxation, from Alexandria. Values from VASP.

The structure in Quantum ESPRESSO input format:
```
&SYSTEM
  ibrav = 0, nat = 4, ntyp = 3
/
ATOMIC_SPECIES
P 30.97 P.upf
Br 79.90 Br.upf
Zn 65.41 Zn.upf
CELL_PARAMETERS angstrom
-2.166 0.910 2.101
-3.616 -2.472 -2.657
0.772 -3.718 2.408
ATOMIC_POSITIONS crystal
P 0.000 0.000 0.000
P 0.500 0.500 0.000
Br 0.000 0.500 0.500
Zn 0.500 0.000 0.500
```

magnetic moment	0.00	μB/f.u.

---

Most stable: model B (next structure +647 meV/atom)

---

Model A:
The following is a PBE-GGA calculation of ZnP2Br after structural relaxation, from Alexandria. Values from VASP.

The structure in Quantum ESPRESSO input format:
```
&SYSTEM
  ibrav = 0, nat = 4, ntyp = 3
/
ATOMIC_SPECIES
Zn 65.41 Zn.upf
P 30.97 P.upf
Br 79.90 Br.upf
CELL_PARAMETERS angstrom
-3.763 -2.708 0.461
2.713 -3.501 1.445
0.175 4.120 2.166
ATOMIC_POSITIONS crystal
Zn 0.500 0.500 0.000
P 0.250 0.750 0.500
P 0.000 0.000 0.000
Br 0.750 0.250 0.500
```

magnetic moment	0.00	μB/f.u.

---

Model B:
The following is a PBE-GGA calculation of ZnP2Br after structural relaxation, from Alexandria. Values from VASP.

The structure in Quantum ESPRESSO input format:
```
&SYSTEM
  ibrav = 0, nat = 4, ntyp = 3
/
ATOMIC_SPECIES
Br 79.90 Br.upf
P 30.97 P.upf
Zn 65.41 Zn.upf
CELL_PARAMETERS angstrom
4.877 0.000 0.000
0.000 4.877 0.000
0.000 0.000 3.050
ATOMIC_POSITIONS crystal
Br 0.000 0.500 0.500
P 0.000 0.000 0.000
P 0.500 0.500 0.000
Zn 0.500 0.000 0.500
```

magnetic moment	0.00	μB/f.u.

---

Most stable: model A (next structure +113 meV/atom)

---

Model A:
The following is a PBE-GGA calculation of ZnP2Br after structural relaxation, from Alexandria. Values from VASP.

The structure in Quantum ESPRESSO input format:
```
&SYSTEM
  ibrav = 0, nat = 4, ntyp = 3
/
ATOMIC_SPECIES
Zn 65.41 Zn.upf
Br 79.90 Br.upf
P 30.97 P.upf
CELL_PARAMETERS angstrom
-1.282 1.476 -2.770
-1.265 -3.590 -1.328
-6.859 0.445 3.411
ATOMIC_POSITIONS crystal
Zn 0.000 0.658 0.442
Br 0.500 0.634 0.671
P 0.500 0.260 0.230
P 0.000 0.948 0.158
```

magnetic moment	0.00	μB/f.u.

---

Model B:
The following is a PBE-GGA calculation of ZnP2Br after structural relaxation, from Alexandria. Values from VASP.

The structure in Quantum ESPRESSO input format:
```
&SYSTEM
  ibrav = 0, nat = 4, ntyp = 3
/
ATOMIC_SPECIES
P 30.97 P.upf
Zn 65.41 Zn.upf
Br 79.90 Br.upf
CELL_PARAMETERS angstrom
7.267 -0.018 0.000
-5.514 4.733 0.000
0.000 0.000 2.498
ATOMIC_POSITIONS crystal
P 0.500 0.500 0.000
P 0.000 0.000 0.000
Zn 0.500 0.000 0.500
Br 0.000 0.500 0.500
```

magnetic moment	0.00	μB/f.u.

---

Most stable: model A (next structure +646 meV/atom)

---

Model A:
The following is a PBE-GGA calculation of ZnP2Br after structural relaxation, from Alexandria. Values from VASP.

The structure in Quantum ESPRESSO input format:
```
&SYSTEM
  ibrav = 0, nat = 4, ntyp = 3
/
ATOMIC_SPECIES
P 30.97 P.upf
Br 79.90 Br.upf
Zn 65.41 Zn.upf
CELL_PARAMETERS angstrom
-4.215 -2.776 -0.605
4.189 0.324 2.861
-4.310 5.299 5.710
ATOMIC_POSITIONS crystal
P 0.500 0.500 0.247
P 0.000 0.000 0.094
Br 0.500 0.500 0.681
Zn 0.000 0.000 0.478
```

magnetic moment	0.00	μB/f.u.

---

Model B:
The following is a PBE-GGA calculation of ZnP2Br after structural relaxation, from Alexandria. Values from VASP.

The structure in Quantum ESPRESSO input format:
```
&SYSTEM
  ibrav = 0, nat = 4, ntyp = 3
/
ATOMIC_SPECIES
Zn 65.41 Zn.upf
P 30.97 P.upf
Br 79.90 Br.upf
CELL_PARAMETERS angstrom
-0.654 -1.592 -3.102
-1.179 -3.335 -0.266
-8.682 1.804 -0.500
ATOMIC_POSITIONS crystal
Zn 0.529 0.529 0.525
P 0.685 0.685 0.884
P 0.027 0.027 0.748
Br 0.259 0.259 0.342
```

magnetic moment	0.00	μB/f.u.

---

Most stable: model B (next structure +197 meV/atom)

---

Model A:
The following is a PBE-GGA calculation of Zn3PBr after structural relaxation, from Alexandria. Values from VASP.

The structure in Quantum ESPRESSO input format:
```
&SYSTEM
  ibrav = 0, nat = 5, ntyp = 3
/
ATOMIC_SPECIES
Br 79.90 Br.upf
P 30.97 P.upf
Zn 65.41 Zn.upf
CELL_PARAMETERS angstrom
4.857 0.000 0.000
0.000 4.857 0.000
0.000 0.000 4.857
ATOMIC_POSITIONS crystal
Br 0.500 0.500 0.500
P 0.000 0.000 0.000
Zn 0.000 0.000 0.500
Zn 0.000 0.500 0.000
Zn 0.500 0.000 0.000
```

magnetic moment	0.00	μB/f.u.

---

Model B:
The following is a PBE-GGA calculation of Zn3PBr after structural relaxation, from Alexandria. Values from VASP.

The structure in Quantum ESPRESSO input format:
```
&SYSTEM
  ibrav = 0, nat = 5, ntyp = 3
/
ATOMIC_SPECIES
Zn 65.41 Zn.upf
P 30.97 P.upf
Br 79.90 Br.upf
CELL_PARAMETERS angstrom
4.999 0.000 0.000
0.000 4.999 0.000
0.000 0.000 4.999
ATOMIC_POSITIONS crystal
Zn 0.000 0.000 0.500
Zn 0.500 0.000 0.000
Zn 0.000 0.500 0.000
P 0.500 0.500 0.500
Br 0.000 0.000 0.000
```

magnetic moment	0.00	μB/f.u.

---

Most stable: model A (next structure +922 meV/atom)

---

Model A:
The following is a PBE-GGA calculation of Zn2P2Br after structural relaxation, from Alexandria. Values from VASP.

The structure in Quantum ESPRESSO input format:
```
&SYSTEM
  ibrav = 0, nat = 5, ntyp = 3
/
ATOMIC_SPECIES
Br 79.90 Br.upf
P 30.97 P.upf
Zn 65.41 Zn.upf
CELL_PARAMETERS angstrom
3.719 0.000 0.000
0.000 3.719 0.000
1.860 1.860 6.623
ATOMIC_POSITIONS crystal
Br 0.000 0.000 0.000
P 0.750 0.250 0.500
P 0.250 0.750 0.500
Zn 0.391 0.391 0.218
Zn 0.609 0.609 0.782
```

magnetic moment	0.00	μB/f.u.

---

Model B:
The following is a PBE-GGA calculation of Zn2P2Br after structural relaxation, from Alexandria. Values from VASP.

The structure in Quantum ESPRESSO input format:
```
&SYSTEM
  ibrav = 0, nat = 10, ntyp = 3
/
ATOMIC_SPECIES
P 30.97 P.upf
Zn 65.41 Zn.upf
Br 79.90 Br.upf
CELL_PARAMETERS angstrom
-7.384 3.657 0.273
-3.323 -6.413 -3.976
-0.497 -1.177 2.314
ATOMIC_POSITIONS crystal
P 0.138 0.638 0.500
P 0.362 0.138 0.500
P 0.638 0.862 0.500
P 0.862 0.362 0.500
Zn 0.152 0.348 0.000
Zn 0.848 0.652 0.000
Zn 0.348 0.848 0.000
Zn 0.652 0.152 0.000
Br 0.000 0.000 0.000
Br 0.500 0.500 0.000
```

magnetic moment	0.00	μB/f.u.

---

Most stable: model A (next structure +144 meV/atom)

---

Model A:
The following is a PBE-GGA calculation of ZrPBr3 after structural relaxation, from Alexandria. Values from VASP.

The structure in Quantum ESPRESSO input format:
```
&SYSTEM
  ibrav = 0, nat = 5, ntyp = 3
/
ATOMIC_SPECIES
P 30.97 P.upf
Zr 91.22 Zr.upf
Br 79.90 Br.upf
CELL_PARAMETERS angstrom
-0.054 3.472 3.832
2.837 -3.184 2.925
4.323 2.133 -1.871
ATOMIC_POSITIONS crystal
P 0.000 0.000 0.000
Zr 0.500 0.500 0.500
Br 0.500 0.000 0.000
Br 0.000 0.500 0.000
Br 0.000 0.000 0.500
```

magnetic moment	2.62	μB/f.u.

---

Model B:
The following is a PBE-GGA calculation of ZrPBr3 after structural relaxation, from Alexandria. Values from VASP.

The structure in Quantum ESPRESSO input format:
```
&SYSTEM
  ibrav = 0, nat = 5, ntyp = 3
/
ATOMIC_SPECIES
Br 79.90 Br.upf
P 30.97 P.upf
Zr 91.22 Zr.upf
CELL_PARAMETERS angstrom
5.376 0.000 0.000
0.000 5.376 0.000
0.000 0.000 5.376
ATOMIC_POSITIONS crystal
Br 0.500 0.000 0.000
Br 0.000 0.500 0.000
Br 0.000 0.000 0.500
P 0.500 0.500 0.500
Zr 0.000 0.000 0.000
```

magnetic moment	2.99	μB/f.u.

---

Most stable: model B (next structure +701 meV/atom)